An optimized crystal structure of LaCr2PbO8. Source: the Alexandria database, functional PBE with a Hubbard U.

DFT total energy, eV/atom: -6.98
DOS(E_F), states/eV/atom: 0.47

Cell: 5.8166 5.8166 7.3668 Å, 90.00 90.00 120.00°
With the nearest neighbours (Å) after each atom.
Space group P-3m1 (No. 164)
Unique sites:
La 0.0000 0.0000 0.0000 [1 per cell]  6 O 2.40
Cr 0.3333 0.6667 0.2998 [2 per cell]  4 O 1.63-1.72
Pb 0.0000 0.0000 0.5000 [1 per cell]  6 O 2.66
O 0.1717 0.3435 0.2257 [6 per cell]  1 Cr 1.72
O 0.3333 0.6667 0.5217 [2 per cell]  1 Cr 1.63